Here is a geometry-optimized Ni2MoAs structure from the Alexandria database. Energies are from PBE.

Energy relative to the elements ... 0.2992 eV per atom
E_tot ... -25.846 eV per formula unit
Space-group type ... I-42d (122)
Volume ... 114 Å³ per cell
Magnetic moment ... 0.00 μB per formula unit
Mass density ... 8.4 g/cm3

abc: 3.6221 3.6221 9.0802
angles: 78.50 78.50 90.00
Last column: nearest neighbours and their distance in Å.
Atoms (fractional coordinates):
As1 0.5000 0.5000 0.0000  4 Ni 2.52, 4 Mo 2.56
Ni1 0.1335 0.6250 0.2500  2 As 2.52, 4 Ni 2.52-2.61, 2 Mo 2.54
Ni2 0.3750 0.3835 0.7500  2 As 2.52, 4 Ni 2.52-2.61, 2 Mo 2.54
Mo1 0.7500 0.2500 0.5000  4 Ni 2.54, 4 As 2.56
Ni3 0.6165 0.1250 0.2500  2 As 2.52, 4 Ni 2.52-2.61, 2 Mo 2.54
As2 0.2500 0.7500 0.5000  4 Ni 2.52, 4 Mo 2.56
Ni4 0.8750 0.8665 0.7500  2 As 2.52, 4 Ni 2.52-2.61, 2 Mo 2.54
Mo2 0.0000 0.0000 0.0000  4 Ni 2.54, 4 As 2.56

***

Here is a geometry-optimized NiMo2As structure from the Alexandria database. Energies are from PBE.

Energy relative to the elements ... 0.0265 eV per atom
E_tot ... -31.987 eV per formula unit
Space-group type ... P4mm (99)
Volume ... 58 Å³ per cell
Magnetic moment ... 0.00 μB per formula unit
Mass density ... 9.3 g/cm3

abc: 3.2641 3.2641 5.4828
angles: 90.00 90.00 90.00
Last column: nearest neighbours and their distance in Å.
Atoms (fractional coordinates):
Mo1 0.5000 0.5000 0.2642  2 As 2.60-2.89, 4 Ni 2.64, 4 Mo 2.72
Ni1 0.0000 0.0000 0.4970  6 Mo 2.64-2.76, 4 As 2.66
Mo2 0.0000 0.0000 0.0011  2 Ni 2.72-2.76, 4 Mo 2.72, 4 As 2.72
As1 0.5000 0.5000 0.7377  6 Mo 2.60-2.89, 4 Ni 2.66